1.
## La2Mg2Te (GGA-PBE)

Data for crystalline La2Mg2Te at its relaxed geometry.

Calculated values
Volume: 328 Å³/cell
DOS at the Fermi energy: 0.88 states/eV per atom
Excess energy over the best structure of this formula in the dataset: 0.4951 eV per atom
Raw formation energy: 138 meV/atom
Total magnetic moment: 0.0 μB/cell

Unit cell a=4.4940 b=4.4940 c=16.2241 alpha=90.00 beta=90.00 gamma=90.00
Closest atoms and distances in Å follow each position.
Space group I4/mmm (No. 139)
Asymmetric unit:
La 0.0000 0.5000 0.2500 [4 per cell]  4 La 3.18, 4 Mg 3.46
Mg 0.0000 0.0000 0.0878 [4 per cell]  1 Mg 2.85
Te 0.0000 0.0000 0.5000 [2 per cell]  8 Mg 3.48

2.
## LaMgTe (GGA-PBE)

Data for crystalline LaMgTe at its relaxed geometry.

Calculated values
Volume: 101 Å³/cell
DOS at the Fermi energy: 0.67 states/eV per atom
Excess energy over the best structure of this formula in the dataset: 0.2306 eV per atom
Raw formation energy: -604 meV/atom
Total magnetic moment: 0.7 μB/cell

Unit cell a=4.1923 b=4.1923 c=6.6514 alpha=90.00 beta=90.00 gamma=120.00
Closest atoms and distances in Å follow each position.
Space group P3m1 (No. 156)
Asymmetric unit:
La 0.0000 0.0000 0.0000 [1 per cell]  3 Te 3.24
Mg 0.3333 0.6667 0.4112 [1 per cell]  3 Te 2.99
Te 0.6667 0.3333 0.6761 [1 per cell]  3 Mg 2.99, 3 La 3.24

3.
## La2MgTe (GGA-PBE)

Data for crystalline La2MgTe at its relaxed geometry.

Calculated values
Volume: 255 Å³/cell
DOS at the Fermi energy: 1.25 states/eV per atom
Excess energy over the best structure of this formula in the dataset: 0.0340 eV per atom
Raw formation energy: -702 meV/atom
Total magnetic moment: 0.0 μB/cell

Unit cell a=12.2343 b=4.2575 c=4.9052 alpha=90.00 beta=90.13 gamma=90.00
Closest atoms and distances in Å follow each position.
Space group Cm (No. 8)
Asymmetric unit:
La 0.0000 0.0000 0.0000 [2 per cell]  4 Mg 3.30-3.31, 3 Te 3.37-3.47
La 0.2180 0.5000 0.5015 [2 per cell]  3 Mg 3.28-3.55, 4 Te 3.32
Mg 0.4500 0.0000 0.4993 [2 per cell]  2 Te 3.24-3.26, 7 La 3.28-3.55
Te 0.2758 0.0000 0.0018 [2 per cell]  2 Mg 3.24-3.26, 7 La 3.32-3.47

4.
## La2MgTe (GGA-PBE)

Data for crystalline La2MgTe at its relaxed geometry.

Calculated values
Volume: 123 Å³/cell
DOS at the Fermi energy: 0.84 states/eV per atom
Excess energy over the best structure of this formula in the dataset: 0.0000 eV per atom
Raw formation energy: -736 meV/atom
Total magnetic moment: 0.0 μB/cell

Unit cell a=4.0853 b=4.0853 c=7.3682 alpha=90.00 beta=90.00 gamma=90.00
Closest atoms and distances in Å follow each position.
Space group P4/mmm (No. 123)
Asymmetric unit:
La 0.0000 0.0000 0.2438 [2 per cell]  4 Te 3.40, 4 Mg 3.45, 2 La 3.59-3.78
Mg 0.5000 0.5000 0.5000 [1 per cell]  8 La 3.45, 2 Te 3.68
Te 0.5000 0.5000 0.0000 [1 per cell]  8 La 3.40, 2 Mg 3.68

5.
## La4MgTe7 (GGA-PBE)

Data for crystalline La4MgTe7 at its relaxed geometry.

Calculated values
Volume: 844 Å³/cell
Raw formation energy: -1431 meV/atom
Total magnetic moment: 0.0 μB/cell

Unit cell a=14.6970 b=4.4569 c=13.3750 alpha=90.00 beta=105.66 gamma=90.00
Closest atoms and distances in Å follow each position.
Space group Cm (No. 8)
Asymmetric unit:
La 0.0000 0.0000 0.0000 [2 per cell]  6 Te 3.15-3.28
La 0.0781 0.5000 0.3541 [2 per cell]  6 Te 3.21-3.38
La 0.1927 0.0000 0.7642 [2 per cell]  7 Te 3.19-3.49
La 0.3844 0.5000 0.5543 [2 per cell]  6 Te 3.14-3.22
Mg 0.2678 0.5000 0.1361 [2 per cell]  6 Te 2.92-3.06
Te 0.0473 0.5000 0.6138 [2 per cell]  4 La 3.21-3.36
Te 0.1310 0.5000 0.9247 [2 per cell]  1 Mg 2.99, 2 La 3.28
Te 0.1612 0.0000 0.2138 [2 per cell]  2 Mg 3.06, 3 La 3.18-3.35
Te 0.2200 0.0000 0.5133 [2 per cell]  5 La 3.22-3.49
Te 0.3508 0.5000 0.7781 [2 per cell]  4 La 3.16-3.19
Te 0.3777 0.0000 0.0686 [2 per cell]  2 Mg 3.03, 2 La 3.15
Te 0.4167 0.5000 0.3316 [2 per cell]  1 Mg 2.92, 3 La 3.14-3.21

6.
## La2MgTe (GGA-PBE)

Data for crystalline La2MgTe at its relaxed geometry.

Calculated values
Volume: 245 Å³/cell
DOS at the Fermi energy: 1.05 states/eV per atom
Excess energy over the best structure of this formula in the dataset: 0.1128 eV per atom
Raw formation energy: -623 meV/atom
Total magnetic moment: 0.0 μB/cell

Unit cell a=4.0910 b=5.2900 c=11.3226 alpha=90.00 beta=90.00 gamma=90.00
Closest atoms and distances in Å follow each position.
Space group Imm2 (No. 44)
Asymmetric unit:
La 0.0000 0.0000 0.0000 [2 per cell]  4 Mg 3.38, 2 Te 3.43, 4 La 3.65-3.73
La 0.0000 0.5000 0.2327 [2 per cell]  4 Te 3.35, 4 La 3.65-3.73, 4 Mg 3.66-3.74
Mg 0.0000 0.0000 0.4565 [2 per cell]  2 Te 3.17, 4 La 3.38
Te 0.0000 0.5000 0.7426 [2 per cell]  2 Mg 3.17, 6 La 3.35-3.43

7.
## La2MgTe (GGA-PBE)

Data for crystalline La2MgTe at its relaxed geometry.

Calculated values
Volume: 243 Å³/cell
DOS at the Fermi energy: 1.13 states/eV per atom
Excess energy over the best structure of this formula in the dataset: 0.0370 eV per atom
Raw formation energy: -699 meV/atom
Total magnetic moment: 0.0 μB/cell

Unit cell a=6.9813 b=8.8194 c=3.9386 alpha=90.00 beta=90.00 gamma=90.00
Closest atoms and distances in Å follow each position.
Space group Cmmm (No. 65)
Asymmetric unit:
La 0.2500 0.2500 0.0000 [4 per cell]  4 Te 3.43, 4 Mg 3.43, 2 La 3.49
Mg 0.0000 0.0000 0.5000 [2 per cell]  8 La 3.43, 2 Te 3.49
Te 0.0000 0.5000 0.5000 [2 per cell]  8 La 3.43, 2 Mg 3.49

8.
## La2MgTe (GGA-PBE)

Data for crystalline La2MgTe at its relaxed geometry.

Calculated values
Volume: 243 Å³/cell
DOS at the Fermi energy: 1.31 states/eV per atom
Excess energy over the best structure of this formula in the dataset: 0.1303 eV per atom
Raw formation energy: -605 meV/atom
Total magnetic moment: 0.0 μB/cell

Unit cell a=5.1283 b=5.1283 c=9.2581 alpha=90.00 beta=90.00 gamma=90.00
Closest atoms and distances in Å follow each position.
Space group I4/mmm (No. 139)
Asymmetric unit:
La 0.0000 0.5000 0.2500 [4 per cell]  4 Mg 3.45, 4 Te 3.45, 4 La 3.63
Mg 0.0000 0.0000 0.0000 [2 per cell]  8 La 3.45, 4 Te 3.63
Te 0.0000 0.0000 0.5000 [2 per cell]  8 La 3.45, 4 Mg 3.63

9.
## LaMgTe (GGA-PBE)

Data for crystalline LaMgTe at its relaxed geometry.

Calculated values
Volume: 87 Å³/cell
DOS at the Fermi energy: 0.83 states/eV per atom
Excess energy over the best structure of this formula in the dataset: 0.1398 eV per atom
Raw formation energy: -694 meV/atom
Total magnetic moment: 0.0 μB/cell

Unit cell a=5.0048 b=5.0048 c=4.0054 alpha=90.00 beta=90.00 gamma=120.00
Closest atoms and distances in Å follow each position.
Space group P-6m2 (No. 187)
Asymmetric unit:
La 0.0000 0.0000 0.0000 [1 per cell]  6 Mg 3.52, 6 Te 3.52
Mg 0.6667 0.3333 0.5000 [1 per cell]  3 Te 2.89
Te 0.3333 0.6667 0.5000 [1 per cell]  3 Mg 2.89

10.
## La2MgTe (GGA-PBE)

Data for crystalline La2MgTe at its relaxed geometry.

Calculated values
Volume: 476 Å³/cell
DOS at the Fermi energy: 1.25 states/eV per atom
Excess energy over the best structure of this formula in the dataset: 0.5118 eV per atom
Raw formation energy: -224 meV/atom
Total magnetic moment: 0.0 μB/cell

Unit cell a=7.8082 b=7.8082 c=7.8082 alpha=90.00 beta=90.00 gamma=90.00
Closest atoms and distances in Å follow each position.
Space group F-43m (No. 216)
Asymmetric unit:
La 0.0000 0.0000 0.0000 [4 per cell]  4 Te 3.38, 4 La 3.38
La 0.2500 0.2500 0.2500 [4 per cell]  4 La 3.38, 4 Mg 3.38
Mg 0.0000 0.0000 0.5000 [4 per cell]  4 La 3.38, 4 Te 3.38
Te 0.2500 0.2500 0.7500 [4 per cell]  4 La 3.38, 4 Mg 3.38

11.
## LaMgTe (GGA-PBE)

Data for crystalline LaMgTe at its relaxed geometry.

Calculated values
Volume: 174 Å³/cell
DOS at the Fermi energy: 0.61 states/eV per atom
Excess energy over the best structure of this formula in the dataset: 0.1255 eV per atom
Raw formation energy: -709 meV/atom
Total magnetic moment: 1.5 μB/cell

Unit cell a=3.9210 b=3.9210 c=11.3478 alpha=90.00 beta=90.00 gamma=90.00
Closest atoms and distances in Å follow each position.
Space group I4mm (No. 107)
Asymmetric unit:
La 0.0000 0.0000 0.0000 [2 per cell]  5 Te 3.42-3.67, 5 Mg 3.51-3.52
Mg 0.0000 0.0000 0.3089 [2 per cell]  4 Te 3.15, 5 La 3.51-3.52
Te 0.0000 0.0000 0.6764 [2 per cell]  4 Mg 3.15, 4 La 3.42

12.
## La2MgTe (GGA-PBE)

Data for crystalline La2MgTe at its relaxed geometry.

Calculated values
Volume: 422 Å³/cell
DOS at the Fermi energy: 0.82 states/eV per atom
Excess energy over the best structure of this formula in the dataset: 0.0480 eV per atom
Raw formation energy: -688 meV/atom
Total magnetic moment: 0.0 μB/cell

Unit cell a=4.3939 b=4.3939 c=25.2336 alpha=90.00 beta=90.00 gamma=120.00
Closest atoms and distances in Å follow each position.
Space group R-3m (No. 166, hexagonal axes)
Asymmetric unit:
La 0.0000 0.0000 0.2435 [6 per cell]  3 Te 3.19, 3 Mg 3.40
Mg 0.0000 0.0000 0.0000 [3 per cell]  6 La 3.40
Te 0.0000 0.0000 0.5000 [3 per cell]  6 La 3.19

What did the second record say?
## LaMgTe (GGA-PBE)

Data for crystalline LaMgTe at its relaxed geometry.

Calculated values
Volume: 101 Å³/cell
DOS at the Fermi energy: 0.67 states/eV per atom
Excess energy over the best structure of this formula in the dataset: 0.2306 eV per atom
Raw formation energy: -604 meV/atom
Total magnetic moment: 0.7 μB/cell

Unit cell a=4.1923 b=4.1923 c=6.6514 alpha=90.00 beta=90.00 gamma=120.00
Closest atoms and distances in Å follow each position.
Space group P3m1 (No. 156)
Asymmetric unit:
La 0.0000 0.0000 0.0000 [1 per cell]  3 Te 3.24
Mg 0.3333 0.6667 0.4112 [1 per cell]  3 Te 2.99
Te 0.6667 0.3333 0.6761 [1 per cell]  3 Mg 2.99, 3 La 3.24